Computed, not measured: an optimized crystal structure of CsNb4Zn2 at the PBE level of DFT.

Cell lengths 5.0709, 5.0709, 12.9159 Å; angles 90.00, 90.00, 90.00 degrees
Space group I4/mmm (No. 139)
Unique sites:
Cs (0.0000, 0.0000, 0.0000) [2 per cell]
Nb (0.0000, 0.0000, 0.2033) [4 per cell]
Nb (0.0000, 0.5000, 0.0000) [4 per cell]
Zn (0.0000, 0.0000, 0.4010) [4 per cell]

Properties
* total DFT energy (no corrections): -4.067 eV per atom
* spin magnetization: 2.26 μB/f.u.



Computed, not measured: an optimized crystal structure of CsNbZn at the PBE level of DFT.

Cell lengths 9.4904, 3.4545, 12.6516 Å; angles 90.00, 90.00, 90.00 degrees
Space group Pnma (No. 62)
Unique sites:
Cs (0.0676, 0.2500, 0.1732) [4 per cell]
Nb (0.0806, 0.2500, 0.5425) [4 per cell]
Zn (0.2199, 0.7500, 0.4100) [4 per cell]

Properties
* total DFT energy (no corrections): -3.387 eV per atom
* spin magnetization: 0.00 μB/f.u.



> Among the records above, which one has the lowest spin magnetization?

CsNbZn